Record 1
A relaxed AgS2Cl6 crystal. Source: the Open Quantum Materials Database, functional GGA-PBE.

## Properties
**Final energy**: -2.655 eV/atom

Cell lengths 4.169, 7.157, 8.260 Å; angles 79.72, 81.41, 89.99 degrees
Space group P-1 (No. 2)
Symmetry-distinct sites (fractional):
Ag (0.000, 0.000, 0.000) x1
S (0.326, 0.246, 0.766) x2
Cl (0.091, 0.491, 0.783) x2
Cl (0.260, 0.198, 0.539) x2
Cl (0.339, 0.147, 0.163) x2

***

Record 2
A relaxed HoErLu crystal. Source: the Open Quantum Materials Database, functional GGA-PBE.

## Properties
**Final energy**: -3.838 eV/atom
**Relative energy among the computed polymorphs**: 0.0000 eV/atom
**Total moment**: 0.031 μB/cell
**DFT formation energy**: 207 kJ/mol of formula units

Cell lengths 7.521, 7.521, 7.521 Å; angles 90.00, 90.00, 90.00 degrees
Space group F-43m (No. 216)
Symmetry-distinct sites (fractional):
Ho (0.000, 0.000, 0.000) x4
Er (0.000, 0.000, 0.500) x4
Lu (0.250, 0.250, 0.750) x4

***

Record 3
A relaxed PrIn2Pd crystal. Source: the Open Quantum Materials Database, functional GGA-PBE.

## Properties
**Final energy**: -4.511 eV/atom
**Total moment**: 0.005 μB/cell

Cell lengths 14.136, 14.136, 9.359 Å; angles 90.00, 90.00, 90.00 degrees
Space group I4mm (No. 107)
Symmetry-distinct sites (fractional):
Pr (0.000, 0.000, 0.000) x2
Pr (0.000, 0.000, 0.470) x2
Pr (0.000, 0.281, 0.395) x8
Pr (0.203, 0.203, 0.882) x8
In (0.000, 0.166, 0.726) x8
In (0.000, 0.383, 0.872) x8
In (0.133, 0.133, 0.227) x8
In (0.141, 0.353, 0.133) x16
Pd (0.000, 0.218, 0.036) x8
Pd (0.000, 0.500, 0.125) x4
Pd (0.160, 0.160, 0.544) x8

***

Record 4
A relaxed Ba3TlPt crystal. Source: the Open Quantum Materials Database, functional GGA-PBE.

## Properties
**Final energy**: -3.255 eV/atom
**Total moment**: 0.727 μB/cell

Cell lengths 6.148, 6.148, 6.148 Å; angles 90.00, 90.00, 90.00 degrees
Space group Pm-3m (No. 221)
Symmetry-distinct sites (fractional):
Ba (0.000, 0.000, 0.500) x3
Tl (0.500, 0.500, 0.500) x1
Pt (0.000, 0.000, 0.000) x1

***

Record 5
A relaxed DyCoSn crystal. Source: the Open Quantum Materials Database, functional GGA-PBE.

## Properties
**Final energy**: -5.729 eV/atom
**Total moment**: 0.821 μB/cell

Cell lengths 7.249, 4.573, 7.320 Å; angles 90.00, 90.00, 90.00 degrees
Space group Pnma (No. 62)
Symmetry-distinct sites (fractional):
Dy (0.022, 0.250, 0.200) x4
Co (0.158, 0.750, 0.438) x4
Sn (0.202, 0.250, 0.606) x4

***

Record 6
A relaxed Co3CuTe5 crystal. Source: the Open Quantum Materials Database, functional GGA-PBE.

## Properties
**Final energy**: -4.312 eV/atom
**Total moment**: 2.385 μB/cell

Cell lengths 5.5014, 5.5014, 7.5252 Å; angles 90.00, 90.00, 120.00 degrees
Space group P6/mmm (No. 191)
Symmetry-distinct sites (fractional):
Co (0.0000, 0.5000, 0.0000) x3
Cu (0.0000, 0.0000, 0.5000) x1
Te (0.0000, 0.0000, 0.0000) x1
Te (0.3333, 0.6667, 0.2667) x4

***

Calculated calculated density in order - 2665; 7918; 8469; 5798; 9311; 7395 kg/m³